[1]
Compound: Mg2ScCd5
Source: Alexandria via LeMat-Bulk
Functional: GGA-PBE
Structure: optimized geometry

## Properties
The calculation puts the density of states at the Fermi level at 0.440 states/eV per atom. For the calculated formation energy, the calculation gives -0.0337 eV per atom. The value obtained for the energy above the most stable polymorph in this dataset is 117 meV/atom. Its raw total energy is -28.732 eV/cell. Its space group is No. 140.

Cell and atoms, written as POSCAR:
```
Mg2ScCd5
1.0
-3.8886 3.8886 6.0119
3.8886 -3.8886 6.0119
3.8886 3.8886 -6.0119
Mg Sc Cd
4 2 10
Cartesian
5.0314 1.1427 0.0000
1.1427 2.7459 0.0000
2.7459 1.1427 6.0119
-1.1427 2.7459 6.0119
0.0000 0.0000 3.0059
0.0000 0.0000 9.0178
0.0000 0.0000 0.0000
5.0508 -1.1622 1.9614
2.7264 -1.1622 4.0504
2.7264 1.1622 1.9614
5.0508 1.1622 4.0504
0.0000 0.0000 6.0119
-1.1622 2.7264 1.9614
1.1622 2.7264 4.0504
1.1622 5.0508 1.9614
-1.1622 5.0508 4.0504
```

[2]
Compound: K3ScCr
Source: Alexandria via LeMat-Bulk
Functional: GGA-PBE
Structure: optimized geometry

## Properties
The calculation puts the density of states at the Fermi level at 4.603 states/eV per atom. For the calculated formation energy, the calculation gives 1.3879 eV per atom. The value obtained for the energy above the most stable polymorph in this dataset is 236 meV/atom. Its raw total energy is -12.308 eV/cell. Its space group is No. 221.

Cell and atoms, written as POSCAR:
```
K3ScCr
1.0
6.8514 0.0000 0.0000
0.0000 6.8514 0.0000
0.0000 0.0000 6.8514
K Sc Cr
3 1 1
Cartesian
0.0000 0.0000 3.4257
0.0000 3.4257 0.0000
3.4257 0.0000 0.0000
0.0000 0.0000 0.0000
3.4257 3.4257 3.4257
```

[3]
Compound: Li2Ag3Au8
Source: Alexandria via LeMat-Bulk
Functional: GGA-PBE
Structure: optimized geometry

## Properties
The calculation puts the density of states at the Fermi level at 0.214 states/eV per atom. For the calculated formation energy, the calculation gives -0.1387 eV per atom. Its raw total energy is -40.404 eV/cell. Its space group is No. 12.

Cell and atoms, written as POSCAR:
```
Li2Ag3Au8
1.0
6.2430 -4.1982 0.0000
6.2430 4.1982 0.0000
-1.0100 0.0000 4.4792
Li Ag Au
2 3 8
Cartesian
1.7208 0.0000 1.4430
9.7551 0.0000 3.0363
6.2430 1.7620 0.0000
5.7380 0.0000 2.2396
6.2430 -1.7620 0.0000
0.0471 0.0000 3.5188
3.7301 1.8299 1.4411
3.0786 0.0000 3.7219
7.7459 1.8299 3.0381
3.7301 -1.8299 1.4411
8.3973 0.0000 0.7573
7.7459 -1.8299 3.0381
11.4288 0.0000 0.9604
```

[4]
Compound: Sm4GaAsS2
Source: Alexandria via LeMat-Bulk
Functional: GGA-PBE
Structure: optimized geometry

## Properties
The calculation puts the density of states at the Fermi level at 0.355 states/eV per atom. The formation energy (no corrections) is -1521 meV/atom. Its raw total energy is -46.980 eV/cell. Its space group is No. 10.

Cell and atoms, written as POSCAR:
```
Sm4GaAsS2
1.0
7.1898 0.0000 0.0000
0.0000 4.0730 0.0000
-2.3306 0.0000 6.8049
Sm Ga As S
4 1 1 2
Cartesian
1.1950 0.0000 1.6451
0.0470 2.0365 5.1209
4.8123 2.0365 1.6841
3.6642 0.0000 5.1598
2.4296 2.0365 3.4025
-1.1653 0.0000 3.4025
0.0000 2.0365 0.0000
3.5949 0.0000 0.0000
```